[1]
A plane-wave DFT calculation with PBE was carried out for a relaxed structure of Dy4YTm2Fe2Te2.

The crystal system is orthorhombic. Its total energy is -5.655 eV/atom.

The structure belongs to space group Imm2 (No. 44); the cell edges are 3.895, 15.656 and 9.348 Å and the angles 90.00°, 90.00° and 90.00°. The asymmetric unit holds Dy at (0.000, 0.135, 0.000), Dy at (0.000, 0.349, 0.847), Y at (0.000, 0.000, 0.584), Tm at (0.000, 0.314, 0.209), Fe at (0.000, 0.236, 0.518), Te at (0.000, 0.000, 0.248) and Te at (0.000, 0.500, 0.347).

=====

[2]
A plane-wave DFT calculation with PBE was carried out for a relaxed structure of Dy4Y3Fe2Te2.

The crystal system is orthorhombic. Its total energy is -6.006 eV/atom.

The structure belongs to space group Imm2 (No. 44); the cell edges are 3.890, 15.794 and 9.346 Å and the angles 90.00°, 90.00° and 90.00°. The asymmetric unit holds Dy at (0.000, 0.135, 0.000), Dy at (0.000, 0.313, 0.207), Y at (0.000, 0.000, 0.584), Y at (0.000, 0.351, 0.847), Fe at (0.000, 0.239, 0.516), Te at (0.000, 0.000, 0.248) and Te at (0.000, 0.500, 0.348).

=====

[3]
A plane-wave DFT calculation with PBE was carried out for a relaxed structure of Dy6YFe2Te2.

The crystal system is orthorhombic. Its total energy is -5.664 eV/atom.

The structure belongs to space group Imm2 (No. 44); the cell edges are 3.879, 15.744 and 9.420 Å and the angles 90.00°, 90.00° and 90.00°. The asymmetric unit holds Dy at (0.000, 0.134, 0.000), Dy at (0.000, 0.314, 0.207), Dy at (0.000, 0.351, 0.848), Y at (0.000, 0.000, 0.583), Fe at (0.000, 0.238, 0.513), Te at (0.000, 0.000, 0.248) and Te at (0.000, 0.500, 0.346).

=====

[4]
A plane-wave DFT calculation with PBE was carried out for a relaxed structure of Dy2Y5Fe2Te2.

The crystal system is orthorhombic. Its total energy is -6.344 eV/atom.

The structure belongs to space group Imm2 (No. 44); the cell edges are 3.893, 15.763 and 9.365 Å and the angles 90.00°, 90.00° and 90.00°. The asymmetric unit holds Dy at (0.000, 0.187, 0.000), Y at (0.000, 0.149, 0.642), Y at (0.000, 0.366, 0.794), Y at (0.000, 0.500, 0.378), Fe at (0.000, 0.262, 0.309), Te at (0.000, 0.000, 0.141) and Te at (0.000, 0.500, 0.042).

=====

[5]
A plane-wave DFT calculation with PBE was carried out for a relaxed structure of DyTm2Fe9.

The value obtained for the energy of formation is -0.1040 eV per atom. The crystal system is trigonal. Its total energy is -7.465 eV/atom.

The structure belongs to space group R-3m (No. 166, hexagonal axes); the cell edges are 5.0263, 5.0263 and 24.0092 Å and the angles 90.00°, 90.00° and 120.00°. The asymmetric unit holds Dy at (0.0000, 0.0000, 0.0000), Tm at (0.0000, 0.0000, 0.1420), Fe at (0.0000, 0.0000, 0.3328), Fe at (0.0000, 0.0000, 0.5000) and Fe at (0.9996, 0.4998, 0.0821).

=====

[6]
A plane-wave DFT calculation with PBE was carried out for a relaxed structure of Dy2TmFe9.

The value obtained for the energy of formation is -0.0788 eV per atom. The crystal system is trigonal. Its total energy is -7.450 eV/atom.

The structure belongs to space group R-3m (No. 166, hexagonal axes); the cell edges are 5.0367, 5.0367 and 24.0944 Å and the angles 90.00°, 90.00° and 120.00°. The asymmetric unit holds Dy at (0.0000, 0.0000, 0.1418), Tm at (0.0000, 0.0000, 0.0000), Fe at (0.0000, 0.0000, 0.3327), Fe at (0.0000, 0.0000, 0.5000) and Fe at (0.0007, 0.5003, 0.0812).

=====

[7]
A plane-wave DFT calculation with PBE was carried out for a relaxed structure of DyTmFe.

The value obtained for the energy of formation is 0.1860 eV per atom. The crystal system is cubic. As for the energy relative to the lowest polymorph listed for this composition: 0.000 eV/atom. Its total energy is -5.609 eV/atom.

The structure belongs to space group F-43m (No. 216); the cell edges are 6.551, 6.551 and 6.551 Å and the angles 90.00°, 90.00° and 90.00°. The asymmetric unit holds Dy at (0.000, 0.000, 0.000), Tm at (0.000, 0.000, 0.500) and Fe at (0.250, 0.250, 0.250).

=====

[8]
A plane-wave DFT calculation with PBE was carried out for a relaxed structure of DyYFe2.

The value obtained for the energy of formation is 0.0019 eV per atom. The crystal system is orthorhombic. Its total energy is -6.919 eV/atom.

The structure belongs to space group Pmc2_1 (No. 26); the cell edges are 3.743, 5.609 and 7.773 Å and the angles 90.00°, 90.00° and 90.00°. The asymmetric unit holds Dy at (0.000, 0.139, 0.000), Y at (0.500, 0.361, 0.644), Fe at (0.000, 0.343, 0.352) and Fe at (0.500, 0.151, 0.291).

=====

[9]
A plane-wave DFT calculation with PBE was carried out for a relaxed structure of Dy2YFe9.

The value obtained for the energy of formation is -0.0680 eV per atom. The crystal system is trigonal. Its total energy is -7.605 eV/atom.

The structure belongs to space group R-3m (No. 166, hexagonal axes); the cell edges are 5.0544, 5.0544 and 24.1528 Å and the angles 90.00°, 90.00° and 120.00°. The asymmetric unit holds Dy at (0.0000, 0.0000, 0.1419), Y at (0.0000, 0.0000, 0.0000), Fe at (0.0000, 0.0000, 0.3327), Fe at (0.0000, 0.0000, 0.5000) and Fe at (0.0007, 0.5004, 0.0813).

=====

[10]
A plane-wave DFT calculation with PBE was carried out for a relaxed structure of DyYFe2.

The value obtained for the energy of formation is 0.0034 eV per atom. The crystal system is orthorhombic. Its total energy is -6.918 eV/atom.

The structure belongs to space group Pmn2_1 (No. 31); the cell edges are 3.783, 7.713 and 5.595 Å and the angles 90.00°, 90.00° and 90.00°. The asymmetric unit holds Dy at (0.000, 0.073, 0.000), Y at (0.000, 0.572, 0.272), Fe at (0.000, 0.219, 0.479) and Fe at (0.000, 0.724, 0.793).

=====

[11]
A plane-wave DFT calculation with PBE was carried out for a relaxed structure of DyY2Fe9.

The value obtained for the energy of formation is -0.0623 eV per atom. The crystal system is trigonal. Its total energy is -7.755 eV/atom.

The structure belongs to space group R-3m (No. 166, hexagonal axes); the cell edges are 5.0566, 5.0566 and 24.1465 Å and the angles 90.00°, 90.00° and 120.00°. The asymmetric unit holds Dy at (0.0000, 0.0000, 0.0000), Y at (0.0000, 0.0000, 0.1419), Fe at (0.0000, 0.0000, 0.3326), Fe at (0.0000, 0.0000, 0.5000) and Fe at (0.0007, 0.5004, 0.0812).

=====

[12]
A plane-wave DFT calculation with PBE was carried out for a relaxed structure of DyGa3.

The crystal system is hexagonal. Its total energy is -3.958 eV/atom.

The structure belongs to space group P6_3/mmc (No. 194); the cell edges are 6.2765, 6.2765 and 4.5400 Å and the angles 90.00°, 90.00° and 120.00°. The asymmetric unit holds Dy at (0.3333, 0.6667, 0.2500) and Ga at (0.1477, 0.2955, 0.7500).

=====

[13]
A plane-wave DFT calculation with PBE was carried out for a relaxed structure of DyGa.

The crystal system is orthorhombic. Its total energy is -4.446 eV/atom.

The structure belongs to space group Cmcm (No. 63); the cell edges are 4.341, 10.884 and 4.053 Å and the angles 90.00°, 90.00° and 90.00°. The asymmetric unit holds Dy at (0.000, 0.139, 0.250) and Ga at (0.000, 0.423, 0.250).

=====

[14]
A plane-wave DFT calculation with PBE was carried out for a relaxed structure of DyGa2.

The crystal system is cubic. Its total energy is -4.114 eV/atom.

The structure belongs to space group Fd-3m (No. 227, origin choice 2); the cell edges are 7.775, 7.775 and 7.775 Å and the angles 90.00°, 90.00° and 90.00°. The asymmetric unit holds Dy at (0.125, 0.125, 0.125) and Ga at (0.000, 0.000, 0.500).

=====

[15]
A plane-wave DFT calculation with PBE was carried out for a relaxed structure of DyGa.

The crystal system is cubic. Its total energy is -3.316 eV/atom.

The structure belongs to space group F-43m (No. 216); the cell edges are 6.539, 6.539 and 6.539 Å and the angles 90.00°, 90.00° and 90.00°. The asymmetric unit holds Dy at (0.000, 0.000, 0.000) and Ga at (0.250, 0.250, 0.750).

=====

[16]
A plane-wave DFT calculation with PBE was carried out for a relaxed structure of Dy3Ga2.

The crystal system is tetragonal. Its total energy is -4.512 eV/atom.

The structure belongs to space group I4/mcm (No. 140); the cell edges are 11.617, 11.617 and 14.887 Å and the angles 90.00°, 90.00° and 90.00°. The asymmetric unit holds Dy at (0.000, 0.500, 0.147), Dy at (0.067, 0.203, 0.135), Dy at (0.169, 0.331, 0.500), Ga at (0.000, 0.000, 0.000), Ga at (0.000, 0.000, 0.250), Ga at (0.116, 0.384, 0.000) and Ga at (0.178, 0.322, 0.299).

=====

[17]
A plane-wave DFT calculation with PBE was carried out for a relaxed structure of DyGa.

The crystal system is cubic. Its total energy is -4.080 eV/atom.

The structure belongs to space group Fm-3m (No. 225); the cell edges are 5.916, 5.916 and 5.916 Å and the angles 90.00°, 90.00° and 90.00°. The asymmetric unit holds Dy at (0.000, 0.000, 0.000) and Ga at (0.000, 0.000, 0.500).

=====

[18]
A plane-wave DFT calculation with PBE was carried out for a relaxed structure of DyGa3.

The crystal system is hexagonal. Its total energy is -3.957 eV/atom.

The structure belongs to space group P6_3/mmc (No. 194); the cell edges are 6.1794, 6.1794 and 23.1850 Å and the angles 90.00°, 90.00° and 120.00°. The asymmetric unit holds Dy at (0.0000, 0.0000, 0.2500), Dy at (0.3333, 0.6667, 0.0436), Dy at (0.3333, 0.6667, 0.6491), Ga at (0.0365, 0.5182, 0.2500), Ga at (0.1454, 0.2907, 0.5515) and Ga at (0.1709, 0.3419, 0.1488).

=====

[19]
A plane-wave DFT calculation with PBE was carried out for a relaxed structure of DyGa2.

The crystal system is hexagonal. Its total energy is -4.197 eV/atom.

The structure belongs to space group P6/mmm (No. 191); the cell edges are 4.2135, 4.2135 and 4.0851 Å and the angles 90.00°, 90.00° and 120.00°. The asymmetric unit holds Dy at (0.0000, 0.0000, 0.0000) and Ga at (0.3333, 0.6667, 0.5000).

=====

[20]
A plane-wave DFT calculation with PBE was carried out for a relaxed structure of DyGa3.

The crystal system is orthorhombic. Its total energy is -3.957 eV/atom.

The structure belongs to space group Cmcm (No. 63); the cell edges are 6.253, 10.891 and 4.546 Å and the angles 90.00°, 90.00° and 90.00°. The asymmetric unit holds Dy at (0.000, 0.168, 0.250), Ga at (0.000, 0.351, 0.750) and Ga at (0.223, 0.427, 0.250).